Density functional theory data (GGA-PBE) for a relaxed structure of NaTcP2O8.

Output
The uncorrected energy comes out at -164.25 eV for the cell shown. The density comes out at 4.09 g/cm³. As for the uncorrected formation energy: -20.0 eV per formula unit.

Unit cell a=6.6376 b=6.6376 c=5.7322 alpha=90.00 beta=90.00 gamma=90.00
Space group I-4m2 (No. 119)
Unique sites:
Na 0.0000 0.0000 0.0000 x2
Tc 0.0000 0.5000 0.2500 x2
P 0.0000 0.0000 0.5000 x2
P 0.0000 0.5000 0.7500 x2
O 0.0000 0.1881 0.3380 x8
O 0.0000 0.3280 0.9333 x8

Density functional theory data (GGA-PBE) for a relaxed structure of NaTcP2O.

Output
The value obtained for the energy relative to the lowest polymorph listed for this composition is 0.0 kJ per mole of atoms. The uncorrected energy comes out at -28.71 eV for the cell shown. The density comes out at 3.77 g/cm³. As for the uncorrected formation energy: -1.2 eV per formula unit.

Unit cell a=4.8295 b=4.8295 c=3.7549 alpha=90.00 beta=90.00 gamma=90.00
Space group P4/mmm (No. 123)
Unique sites:
Na 0.0000 0.0000 0.0000 x1
Tc 0.5000 0.5000 0.5000 x1
P 0.0000 0.5000 0.5000 x2
O 0.5000 0.5000 0.0000 x1

Density functional theory data (GGA-PBE) for a relaxed structure of NaTcP2O.

Output
The value obtained for the energy relative to the lowest polymorph listed for this composition is 171.2 kJ per mole of atoms. The uncorrected energy comes out at -19.84 eV for the cell shown. The density comes out at 4.01 g/cm³. As for the uncorrected formation energy: 7.6 eV per formula unit.

Unit cell a=4.7131 b=4.7131 c=3.7118 alpha=90.00 beta=90.00 gamma=90.00
Space group P4/mmm (No. 123)
Unique sites:
Na 0.0000 0.0000 0.0000 x1
Tc 0.5000 0.5000 0.5000 x1
P 0.0000 0.5000 0.0000 x2
O 0.0000 0.0000 0.5000 x1

Density functional theory data (GGA-PBE) for a relaxed structure of NaTePO2.

Output
The value obtained for the energy relative to the lowest polymorph listed for this composition is 94.4 kJ per mole of atoms. The uncorrected energy comes out at -16.48 eV for the cell shown. The density comes out at 3.74 g/cm³. As for the uncorrected formation energy: 3.3 eV per formula unit.

Unit cell a=4.1093 b=4.1093 c=5.6119 alpha=90.00 beta=90.00 gamma=90.00
Space group P4/mmm (No. 123)
Unique sites:
Na 0.0000 0.0000 0.0000 x1
Te 0.5000 0.5000 0.5000 x1
P 0.0000 0.0000 0.5000 x1
O 0.0000 0.5000 0.0000 x2

Density functional theory data (GGA-PBE) for a relaxed structure of NaTeP2O.

Output
The value obtained for the energy relative to the lowest polymorph listed for this composition is 65.0 kJ per mole of atoms. The uncorrected energy comes out at -15.34 eV for the cell shown. The density comes out at 3.84 g/cm³. As for the uncorrected formation energy: 4.9 eV per formula unit.

Unit cell a=5.0206 b=5.0206 c=3.9187 alpha=90.00 beta=90.00 gamma=90.00
Space group P4/mmm (No. 123)
Unique sites:
Na 0.0000 0.0000 0.0000 x1
Te 0.5000 0.5000 0.5000 x1
P 0.0000 0.5000 0.0000 x2
O 0.0000 0.0000 0.5000 x1

Density functional theory data (GGA-PBE) for a relaxed structure of NaTeP2O8.

Output
The uncorrected energy comes out at -152.05 eV for the cell shown. The density comes out at 3.32 g/cm³. As for the uncorrected formation energy: -21.1 eV per formula unit.

Unit cell a=8.2839 b=5.3637 c=7.6623 alpha=90.00 beta=91.45 gamma=90.00
Space group C2/m (No. 12)
Unique sites:
Na 0.0000 0.0000 0.0000 x2
Te 0.0000 0.0000 0.5000 x2
P 0.1518 0.5000 0.7175 x4
O 0.0363 0.2635 0.6984 x8
O 0.2393 0.5000 0.8888 x4
O 0.2437 0.0000 0.4513 x4

Density functional theory data (GGA-PBE) for a relaxed structure of NaTeP2O.

Output
The value obtained for the energy relative to the lowest polymorph listed for this composition is 0.0 kJ per mole of atoms. The uncorrected energy comes out at -18.71 eV for the cell shown. The density comes out at 3.36 g/cm³. As for the uncorrected formation energy: 1.5 eV per formula unit.

Unit cell a=5.3202 b=5.3202 c=3.9912 alpha=90.00 beta=90.00 gamma=90.00
Space group P4/mmm (No. 123)
Unique sites:
Na 0.0000 0.0000 0.0000 x1
Te 0.5000 0.5000 0.5000 x1
P 0.0000 0.5000 0.5000 x2
O 0.5000 0.5000 0.0000 x1

Density functional theory data (GGA-PBE) for a relaxed structure of NaTePO2.

Output
The value obtained for the energy relative to the lowest polymorph listed for this composition is 0.0 kJ per mole of atoms. The uncorrected energy comes out at -21.37 eV for the cell shown. The density comes out at 4.02 g/cm³. As for the uncorrected formation energy: -1.6 eV per formula unit.

Unit cell a=4.0843 b=4.0843 c=5.2930 alpha=90.00 beta=90.00 gamma=90.00
Space group P4/mmm (No. 123)
Unique sites:
Na 0.0000 0.0000 0.0000 x1
Te 0.5000 0.5000 0.5000 x1
P 0.5000 0.5000 0.0000 x1
O 0.0000 0.5000 0.5000 x2

Density functional theory data (GGA-PBE) for a relaxed structure of Na2TePO11.

Output
The uncorrected energy comes out at -146.38 eV for the cell shown. The density comes out at 2.70 g/cm³. As for the uncorrected formation energy: -7.5 eV per formula unit.

Unit cell a=5.7819 b=13.6917 c=6.2944 alpha=90.00 beta=109.91 gamma=90.00
Space group P2_1 (No. 4)
Unique sites:
Na 0.0028 0.0000 0.0611 x2
Na 0.1877 0.2989 0.3516 x2
Te 0.3158 0.5891 0.5288 x2
P 0.4068 0.7870 0.0307 x2
O 0.0585 0.5146 0.5783 x2
O 0.0934 0.6302 0.2250 x2
O 0.1671 0.8443 0.9888 x2
O 0.1881 0.7006 0.6566 x2
O 0.2752 0.4779 0.3231 x2
O 0.3354 0.9026 0.3435 x2
O 0.3653 0.6724 0.0453 x2
O 0.3912 0.3156 0.7437 x2
O 0.3957 0.1469 0.4949 x2
O 0.4265 0.0373 0.2090 x2
O 0.4821 0.2999 0.1598 x2

Density functional theory data (GGA-PBE) for a relaxed structure of NaThP2O8.

Output
The uncorrected energy comes out at -88.89 eV for the cell shown. The density comes out at 3.79 g/cm³. As for the uncorrected formation energy: -29.7 eV per formula unit.

Unit cell a=5.5736 b=5.5736 c=7.2483 alpha=90.00 beta=90.00 gamma=120.00
Space group P-3 (No. 147)
Unique sites:
Na 0.0000 0.0000 0.0000 x1
Th 0.0000 0.0000 0.5000 x1
P 0.3333 0.6667 0.7779 x2
O 0.1808 0.3646 0.7031 x6
O 0.3333 0.6667 0.9895 x2

Density functional theory data (GGA-PBE) for a relaxed structure of Na2ThP2O8.

Output
The uncorrected energy comes out at -762.01 eV for the cell shown. The density comes out at 4.58 g/cm³. As for the uncorrected formation energy: -34.7 eV per formula unit.

Unit cell a=7.1036 b=22.0778 c=9.3208 alpha=90.00 beta=111.77 gamma=90.00
Space group C2/c (No. 15)
Unique sites:
Na 0.1064 0.1899 0.4646 x8
Na 0.1285 0.4371 0.5055 x8
Th 0.0000 0.0711 0.7500 x4
Th 0.0000 0.2961 0.7500 x4
P 0.1821 0.3104 0.1451 x8
P 0.1830 0.0659 0.1188 x8
O 0.0223 0.3113 0.4959 x8
O 0.0374 0.0824 0.4880 x8
O 0.1388 0.1967 0.9132 x8
O 0.1939 0.0124 0.2284 x8
O 0.1976 0.2535 0.2483 x8
O 0.2099 0.4505 0.9944 x8
O 0.2113 0.3691 0.2402 x8
O 0.2191 0.3784 0.7781 x8

Density functional theory data (GGA-PBE) for a relaxed structure of Na2ThP2O8.

Output
The uncorrected energy comes out at -762.08 eV for the cell shown. The density comes out at 4.60 g/cm³. As for the uncorrected formation energy: -34.7 eV per formula unit.

Unit cell a=7.0818 b=22.1293 c=9.3159 alpha=90.00 beta=112.09 gamma=90.00
Space group P2_1/c (No. 14)
Unique sites:
Na 0.0968 0.1912 0.0382 x4
Na 0.1523 0.5644 0.5270 x4
Na 0.3528 0.1863 0.5361 x4
Na 0.3616 0.5592 0.9506 x4
Th 0.2245 0.0467 0.7460 x4
Th 0.2745 0.6799 0.2214 x4
P 0.0705 0.0688 0.3687 x4
P 0.1002 0.6808 0.8515 x4
P 0.4338 0.0529 0.1535 x4
P 0.4695 0.6868 0.5909 x4
O 0.0138 0.6228 0.7535 x4
O 0.0150 0.1981 0.5411 x4
O 0.0312 0.1292 0.2799 x4
O 0.0548 0.0144 0.2588 x4
O 0.0906 0.7331 0.7388 x4
O 0.0962 0.5583 0.0606 x4
O 0.2315 0.0552 0.0091 x4
O 0.2467 0.6704 0.4862 x4
O 0.2796 0.0693 0.5066 x4
O 0.3211 0.6669 0.9664 x4
O 0.3774 0.5487 0.3943 x4
O 0.4270 0.2025 0.0247 x4
O 0.4293 0.1320 0.8042 x4
O 0.4482 0.5063 0.7483 x4
O 0.4575 0.1096 0.2554 x4
O 0.4834 0.7407 0.7002 x4

Density functional theory data (GGA-PBE) for a relaxed structure of NaTi2P4O14.

Output
The uncorrected energy comes out at -159.54 eV for the cell shown. The density comes out at 2.84 g/cm³. As for the uncorrected formation energy: -51.4 eV per formula unit.

Unit cell a=4.9278 b=7.0342 c=8.1843 alpha=90.88 beta=94.21 gamma=104.97
Space group P1 (No. 1)
Unique sites:
Na 0.0000 0.0000 0.0000 x1
Ti 0.1330 0.9970 0.5135 x1
Ti 0.6287 0.4945 0.0150 x1
P 0.1299 0.6237 0.7708 x1
P 0.1315 0.3730 0.2586 x1
P 0.5129 0.7634 0.3157 x1
P 0.7529 0.2346 0.7114 x1
O 0.0440 0.1998 0.3687 x1
O 0.2201 0.7965 0.6609 x1
O 0.2869 0.3211 0.1143 x1
O 0.3143 0.8973 0.3262 x1
O 0.3472 0.5455 0.3692 x1
O 0.3798 0.5469 0.8333 x1
O 0.4942 0.1774 0.5897 x1
O 0.5934 0.7437 0.1390 x1
O 0.6835 0.2545 0.8904 x1
O 0.7692 0.8202 0.4400 x1
O 0.8784 0.4480 0.1985 x1
O 0.9194 0.4508 0.6563 x1
O 0.9483 0.0972 0.7037 x1
O 0.9646 0.6723 0.9114 x1

Density functional theory data (GGA-PBE) for a relaxed structure of NaTiP2O8.

Output
The uncorrected energy comes out at -170.18 eV for the cell shown. The density comes out at 3.40 g/cm³. As for the uncorrected formation energy: -25.4 eV per formula unit.

Unit cell a=6.6865 b=6.6865 c=5.7040 alpha=90.00 beta=90.00 gamma=90.00
Space group I-4m2 (No. 119)
Unique sites:
Na 0.0000 0.0000 0.0000 x2
Ti 0.0000 0.5000 0.2500 x2
P 0.0000 0.0000 0.5000 x2
P 0.0000 0.5000 0.7500 x2
O 0.0000 0.1917 0.3462 x8
O 0.0000 0.3265 0.9296 x8